1.
Compound: InPb
Source: Alexandria
Functional: meta-GGA SCAN
Structure: single point on PBEsol structure

Computed properties:
The energy of formation is 1.528 kcal/mol of atoms. The calculation puts the total energy at -2.0035 Ha/atom. The space group is No. 164.

Cell and atoms, written as POSCAR:
```
InPb
1.0
3.359 0.000 0.000
-1.680 2.909 0.000
0.000 0.000 11.359
Pb In
2 2
direct
0.667 0.333 0.369 Pb
0.333 0.667 0.631 Pb
0.667 0.333 0.881 In
0.333 0.667 0.119 In
```

***

2.
Compound: InPb3
Source: Alexandria
Functional: meta-GGA SCAN
Structure: single point on PBEsol structure

Computed properties:
The energy of formation is 1.171 kcal/mol of atoms. The calculation puts the total energy at -2.3935 Ha/atom. The space group is No. 44.

Cell and atoms, written as POSCAR:
```
InPb3
1.0
3.420 0.000 0.000
0.000 5.950 0.000
-1.710 -2.975 5.628
Pb In
3 1
direct
0.250 0.916 0.500 Pb
0.750 0.417 0.500 Pb
0.500 0.500 0.000 Pb
0.000 0.001 0.000 In
```

***

3.
Compound: In2Pb
Source: Alexandria
Functional: meta-GGA SCAN
Structure: single point on PBEsol structure

Computed properties:
The energy of formation is 1.456 kcal/mol of atoms. The calculation puts the total energy at -1.7439 Ha/atom. Its relative energy among the computed polymorphs is 6 meV per atom. The space group is No. 71.

Cell and atoms, written as POSCAR:
```
In2Pb
1.0
-0.550 -2.883 1.675
4.541 -1.061 -0.335
-1.108 4.372 3.753
In Pb
2 1
direct
0.331 0.331 0.662 In
0.669 0.669 0.338 In
0.000 0.000 0.000 Pb
```

***

4.
Compound: InPb
Source: Alexandria
Functional: meta-GGA SCAN
Structure: single point on PBEsol structure

Computed properties:
The energy of formation is 1.122 kcal/mol of atoms. The calculation puts the total energy at -2.0041 Ha/atom. The space group is No. 166.

Cell and atoms, written as POSCAR:
```
InPb
1.0
-1.393 -2.529 -1.801
0.866 -0.444 -3.261
3.921 -4.348 -0.142
Pb In
1 1
direct
0.500 0.500 0.500 Pb
0.000 0.000 0.000 In
```

***

5.
Compound: InPb3
Source: Alexandria
Functional: meta-GGA SCAN
Structure: single point on PBEsol structure

Computed properties:
The energy of formation is 1.165 kcal/mol of atoms. The calculation puts the total energy at -2.3936 Ha/atom. The space group is No. 71.

Cell and atoms, written as POSCAR:
```
InPb3
1.0
-3.252 0.814 1.164
-2.202 -3.990 -3.364
3.265 -2.222 5.267
Pb In
3 1
direct
0.259 0.259 0.517 Pb
0.741 0.741 0.483 Pb
0.500 0.000 0.000 Pb
0.000 0.500 0.000 In
```

***

6.
Compound: In2Pb
Source: Alexandria
Functional: meta-GGA SCAN
Structure: single point on PBEsol structure

Computed properties:
The energy of formation is 1.431 kcal/mol of atoms. The calculation puts the total energy at -1.7440 Ha/atom. Its relative energy among the computed polymorphs is 5 meV per atom. The space group is No. 141.

Cell and atoms, written as POSCAR:
```
In2Pb
1.0
3.252 0.000 0.000
0.000 3.252 0.000
-1.626 -1.626 15.561
Pb In
2 4
direct
0.250 0.750 0.500 Pb
0.000 0.000 0.000 Pb
0.582 0.582 0.164 In
0.668 0.168 0.336 In
0.832 0.332 0.664 In
0.418 0.418 0.836 In
```

***

7.
Compound: InPb3
Source: Alexandria
Functional: meta-GGA SCAN
Structure: single point on PBEsol structure

Computed properties:
The energy of formation is 1.289 kcal/mol of atoms. The calculation puts the total energy at -2.3934 Ha/atom. The space group is No. 187.

Cell and atoms, written as POSCAR:
```
InPb3
1.0
-2.603 2.173 -0.144
0.464 -1.911 2.766
6.589 8.195 4.555
Pb In
3 1
direct
0.333 0.667 0.244 Pb
0.333 0.667 0.756 Pb
0.000 0.000 0.500 Pb
0.000 0.000 0.000 In
```

***

8.
Compound: In2Pb
Source: Alexandria
Functional: meta-GGA SCAN
Structure: single point on PBEsol structure

Computed properties:
The energy of formation is 1.653 kcal/mol of atoms. The calculation puts the total energy at -1.7436 Ha/atom. Its relative energy among the computed polymorphs is 15 meV per atom. The space group is No. 191.

Cell and atoms, written as POSCAR:
```
In2Pb
1.0
-3.136 -0.231 -0.871
1.461 -2.048 -4.718
-0.915 -3.241 4.153
Pb In
1 2
direct
0.000 0.000 0.000 Pb
0.500 0.667 0.333 In
0.500 0.333 0.667 In
```

***

Number 1: theoretical density 9.6 g cm⁻³. Number 2: theoretical density 10.7 g cm⁻³. Number 3: theoretical density 9.0 g cm⁻³. Number 4: theoretical density 9.7 g cm⁻³. Number 5: theoretical density 10.7 g cm⁻³. Number 6: theoretical density 8.8 g cm⁻³. Number 7: theoretical density 10.7 g cm⁻³. Number 8: theoretical density 9.0 g cm⁻³.